1.
The following is a PBE calculation of crystalline MgAgTe2 at its relaxed geometry, from Alexandria via LeMat-Bulk.

- Uncorrected formation energy: -33 kJ per mole of atoms
- Calculated volume: 104.5 Å³/cell
- Space-group type: C2/m (12)
- Total DFT energy (no corrections): -12.081 eV/f.u.

Unit cell a=4.254 b=4.254 c=7.134 alpha=107.08 beta=107.08 gamma=59.35
Fractional positions:
Mg  0.000  0.000  0.000
Ag  0.500  0.500  0.500
Te  0.251  0.251  0.751
Te  0.749  0.749  0.249

2.
The following is a PBE calculation of crystalline BaAc2Os at its relaxed geometry, from Alexandria via LeMat-Bulk.

- Calculated volume: 173.1 Å³/cell
- Space-group type: R3m (160)
- Excess energy over the best structure of this formula in the dataset: 0.00 eV/f.u.
- Total DFT energy (no corrections): -21.277 eV/f.u.
- DFT formation energy: 2 kJ/mol of atoms

Unit cell a=10.484 b=10.484 c=10.484 alpha=24.42 beta=24.42 gamma=24.42
Fractional positions:
Ba  0.000  0.000  0.000
Ac  0.547  0.547  0.547
Ac  0.782  0.782  0.782
Os  0.164  0.164  0.164

3.
The following is a PBE calculation of crystalline CeTmTh4 at its relaxed geometry, from Alexandria via LeMat-Bulk.

- Calculated volume: 186.3 Å³/cell
- Space-group type: C2/m (12)
- Excess energy over the best structure of this formula in the dataset: 0.00 eV/f.u.
- Total DFT energy (no corrections): -39.841 eV/f.u.
- DFT formation energy: 4 kJ/mol of atoms

Unit cell a=6.116 b=6.116 c=6.092 alpha=99.15 beta=99.15 gamma=120.36
Fractional positions:
Ce  0.000  0.000  0.000
Tm  0.500  0.500  0.500
Th  0.166  0.834  0.500
Th  0.334  0.666  0.000
Th  0.666  0.334  0.000
Th  0.834  0.166  0.500

4.
The following is a PBE calculation of crystalline Tm2BeCo at its relaxed geometry, from Alexandria via LeMat-Bulk.

- Calculated volume: 73.4 Å³/cell
- Space-group type: P4/mmm (123)
- Excess energy over the best structure of this formula in the dataset: 0.39 eV/f.u.
- Total DFT energy (no corrections): -20.123 eV/f.u.
- DFT formation energy: -8 kJ/mol of atoms

Unit cell a=3.323 b=3.323 c=6.648 alpha=90.00 beta=90.00 gamma=90.00
Fractional positions:
Tm  0.000  0.000  0.244
Tm  0.000  0.000  0.756
Be  0.500  0.500  0.500
Co  0.500  0.500  0.000

5.
The following is a PBE calculation of crystalline SiNi2Ir at its relaxed geometry, from Alexandria via LeMat-Bulk.

- Uncorrected formation energy: -26 kJ per mole of atoms
- Calculated volume: 48.4 Å³/cell
- Space-group type: Pmmm (47)
- Total DFT energy (no corrections): -26.925 eV/f.u.

Unit cell a=2.829 b=4.088 c=4.188 alpha=90.00 beta=90.00 gamma=90.00
Fractional positions:
Si  0.000  0.000  0.000
Ni  0.000  0.500  0.500
Ni  0.500  0.000  0.500
Ir  0.500  0.500  0.000

> Among the records above, which one has the lowest total DFT energy (no corrections)?

CeTmTh4

Copy entry 1 word for word.
The following is a PBE calculation of crystalline MgAgTe2 at its relaxed geometry, from Alexandria via LeMat-Bulk.

- Uncorrected formation energy: -33 kJ per mole of atoms
- Calculated volume: 104.5 Å³/cell
- Space-group type: C2/m (12)
- Total DFT energy (no corrections): -12.081 eV/f.u.

Unit cell a=4.254 b=4.254 c=7.134 alpha=107.08 beta=107.08 gamma=59.35
Fractional positions:
Mg  0.000  0.000  0.000
Ag  0.500  0.500  0.500
Te  0.251  0.251  0.751
Te  0.749  0.749  0.249

> Look up the total DFT energy (no corrections) of the fourth one.

-20.123 eV/f.u.